A relaxed BaErTc2O8 crystal, computed with PBE-GGA.

Lattice parameters (Å, degrees): 5.9103 5.9103 7.5635 90.00 90.00 120.00
Atoms (fractional coordinates):
1 Ba 0.0000 0.0000 0.0000
2 Er 0.0000 0.0000 0.5000
3 Tc 0.3333 0.6667 0.7678
4 Tc 0.6667 0.3333 0.2322
5 O 0.1622 0.3275 0.6934
6 O 0.1653 0.8378 0.6934
7 O 0.3275 0.1653 0.3066
8 O 0.3333 0.6667 0.0029
9 O 0.6667 0.3333 0.9971
10 O 0.6725 0.8347 0.6934
11 O 0.8347 0.1622 0.3066
12 O 0.8378 0.6725 0.3066

Size of the total moment = 0.25 μB/atom
Formation energy without anion corrections = -2.083 eV/atom

A relaxed LaDyY crystal, computed with PBE-GGA.

Lattice parameters (Å, degrees): 9.8023 9.8023 9.8023 20.66 20.66 20.66
Atoms (fractional coordinates):
1 La 0.0000 0.0000 0.0000
2 Dy 0.2328 0.2328 0.2328
3 Y 0.1180 0.1180 0.1180

ΔE to the lowest computed polymorph = 213 meV per atom
Size of the total moment = 0.00 μB/atom

A relaxed Zn2HW crystal, computed with PBE-GGA.

Lattice parameters (Å, degrees): 4.2983 4.2983 4.2983 60.00 60.00 60.00
Atoms (fractional coordinates):
1 Zn 0.2500 0.2500 0.2500
2 Zn 0.7500 0.7500 0.7500
3 H 0.0000 0.0000 0.0000
4 W 0.5000 0.5000 0.5000

ΔE to the lowest computed polymorph = 564 meV per atom
Size of the total moment = 0.29 μB/atom

A relaxed Tm4Zr3O12 crystal, computed with PBE-GGA.

Lattice parameters (Å, degrees): 6.3512 6.4247 12.7733 99.38 99.34 99.33
Atoms (fractional coordinates):
1 Tm 0.1108 0.1356 0.4034
2 Tm 0.1899 0.3910 0.6819
3 Tm 0.2005 0.3887 0.1815
4 Tm 0.3594 0.6910 0.9470
5 Tm 0.6406 0.3090 0.0530
6 Tm 0.7995 0.6113 0.8185
7 Tm 0.8101 0.6090 0.3181
8 Tm 0.8892 0.8644 0.5966
9 Zr 0.1084 0.1448 0.9060
10 Zr 0.3526 0.6751 0.4459
11 Zr 0.4922 0.9934 0.7473
12 Zr 0.5078 0.0066 0.2527
13 Zr 0.6474 0.3249 0.5541
14 Zr 0.8916 0.8552 0.0940
15 O 0.0674 0.8280 0.9620
16 O 0.0733 0.4187 0.8414
17 O 0.0860 0.8199 0.4616
18 O 0.0875 0.4292 0.3411
19 O 0.1787 0.0587 0.7130
20 O 0.1815 0.0411 0.2044
21 O 0.3162 0.4122 0.0320
22 O 0.3242 0.4234 0.5349
23 O 0.4216 0.6905 0.2902
24 O 0.4261 0.0799 0.9077
25 O 0.4256 0.6806 0.7796
26 O 0.4628 0.1063 0.4111
27 O 0.5372 0.8937 0.5889
28 O 0.5744 0.3194 0.2204
29 O 0.5739 0.9201 0.0923
30 O 0.5784 0.3095 0.7098
31 O 0.6758 0.5766 0.4651
32 O 0.6838 0.5878 0.9680
33 O 0.8185 0.9589 0.7956
34 O 0.8213 0.9413 0.2870
35 O 0.9125 0.5708 0.6589
36 O 0.9140 0.1801 0.5384
37 O 0.9267 0.5813 0.1586
38 O 0.9326 0.1720 0.0380

ΔE to the lowest computed polymorph = 4 meV per atom
Size of the total moment = 0.00 μB/atom
Formation energy without anion corrections = -3.540 eV/atom

A relaxed K2Th2I7 crystal, computed with PBE-GGA.

Lattice parameters (Å, degrees): 7.0250 7.0250 9.8375 90.21 90.21 102.41
Atoms (fractional coordinates):
1 K 0.2363 0.7637 0.0000
2 K 0.7637 0.2363 0.0000
3 Th 0.3480 0.3480 0.4198
4 Th 0.6520 0.6520 0.5802
5 I 0.0000 0.0000 0.5000
6 I 0.1747 0.5510 0.6725
7 I 0.2689 0.2689 0.0919
8 I 0.4490 0.8253 0.3275
9 I 0.5510 0.1747 0.6725
10 I 0.7311 0.7311 0.9081
11 I 0.8253 0.4490 0.3275

Size of the total moment = 0.28 μB/atom
Formation energy without anion corrections = -1.046 eV/atom

A relaxed La2Mg3 crystal, computed with PBE-GGA.

Lattice parameters (Å, degrees): 3.9196 3.9196 19.3218 90.00 90.00 90.00
Atoms (fractional coordinates):
1 La 0.0000 0.0000 0.1040
2 La 0.0000 0.0000 0.3081
3 La 0.0000 0.0000 0.6919
4 La 0.0000 0.0000 0.8960
5 Mg 0.0000 0.0000 0.5000
6 Mg 0.5000 0.5000 0.0000
7 Mg 0.5000 0.5000 0.2066
8 Mg 0.5000 0.5000 0.4161
9 Mg 0.5000 0.5000 0.5839
10 Mg 0.5000 0.5000 0.7934

ΔE to the lowest computed polymorph = 0 meV per atom
Size of the total moment = 0.00 μB/atom

size of the total moment of number 2 (LaDyY)? 0.00 μB/atom

Look up the size of the total moment of the second one. 0.00 μB/atom

Please write out number 1 again, unchanged.
A relaxed BaErTc2O8 crystal, computed with PBE-GGA.

Lattice parameters (Å, degrees): 5.9103 5.9103 7.5635 90.00 90.00 120.00
Atoms (fractional coordinates):
1 Ba 0.0000 0.0000 0.0000
2 Er 0.0000 0.0000 0.5000
3 Tc 0.3333 0.6667 0.7678
4 Tc 0.6667 0.3333 0.2322
5 O 0.1622 0.3275 0.6934
6 O 0.1653 0.8378 0.6934
7 O 0.3275 0.1653 0.3066
8 O 0.3333 0.6667 0.0029
9 O 0.6667 0.3333 0.9971
10 O 0.6725 0.8347 0.6934
11 O 0.8347 0.1622 0.3066
12 O 0.8378 0.6725 0.3066

Size of the total moment = 0.25 μB/atom
Formation energy without anion corrections = -2.083 eV/atom

Which value of size of the total moment does entry 1 give? 0.25 μB/atom